No. 1
This record from the Alexandria database describes EuHoMgIn after structural relaxation. The functional is PBE.

POSCAR file:
```
EuHoMgIn
1.0
5.436 0.000 0.000
2.718 4.708 0.000
2.718 1.569 4.439
Eu Mg Ho In
1 1 1 1
Cartesian
5.436 3.139 2.219
8.155 4.708 3.329
0.000 0.000 0.000
2.718 1.569 1.110
```

Properties
DOS(E_F): 1.887 states/eV/atom
crystal system: cubic
E_form: -0.285 eV/atom
symmetry: No. 216
energy: -5.081 eV/atom
calculated volume: 114 Å³/f.u.
size of the total moment: 7.35 μB per formula unit


No. 2
This record from the Alexandria database describes NdEuHoIn after structural relaxation. The functional is PBE.

POSCAR file:
```
NdEuHoIn
1.0
-0.142 -4.849 -2.730
4.454 -1.711 -2.868
3.001 -4.315 1.833
Eu Nd Ho In
1 1 1 1
Cartesian
5.484 -8.156 -2.824
3.656 -5.437 -1.883
0.000 0.000 0.000
1.828 -2.719 -0.941
```

Properties
DOS(E_F): 1.378 states/eV/atom
crystal system: cubic
E_form: -0.134 eV/atom
symmetry: No. 216
energy: -5.724 eV/atom
calculated volume: 122 Å³/f.u.
size of the total moment: 7.51 μB per formula unit


No. 3
This record from the Alexandria database describes EuHoInPb after structural relaxation. The functional is PBE.

POSCAR file:
```
EuHoInPb
1.0
5.479 0.000 0.000
2.739 4.745 0.000
2.739 1.582 4.473
Pb Eu Ho In
1 1 1 1
Cartesian
0.000 0.000 0.000
2.739 1.582 1.118
8.218 4.745 3.355
5.479 3.163 2.237
```

Properties
DOS(E_F): 0.501 states/eV/atom
crystal system: cubic
E_form: -0.428 eV/atom
symmetry: No. 216
energy: -5.753 eV/atom
calculated volume: 116 Å³/f.u.
size of the total moment: 7.17 μB per formula unit


No. 4
This record from the Alexandria database describes PrEuHoIn after structural relaxation. The functional is PBE.

POSCAR file:
```
PrEuHoIn
1.0
5.584 0.000 0.000
2.792 4.836 0.000
2.792 1.612 4.559
Eu Pr Ho In
1 1 1 1
Cartesian
8.376 4.836 3.420
5.584 3.224 2.280
0.000 0.000 0.000
2.792 1.612 1.140
```

Properties
DOS(E_F): 1.395 states/eV/atom
crystal system: cubic
E_form: -0.136 eV/atom
symmetry: No. 216
energy: -5.729 eV/atom
calculated volume: 123 Å³/f.u.
size of the total moment: 7.51 μB per formula unit


No. 5
This record from the Alexandria database describes EuHoInRh after structural relaxation. The functional is PBE.

POSCAR file:
```
EuHoInRh
1.0
5.154 0.000 0.000
2.577 4.463 0.000
2.577 1.488 4.208
Eu Rh Ho In
1 1 1 1
Cartesian
7.731 4.463 3.156
0.000 0.000 0.000
2.577 1.488 1.052
5.154 2.976 2.104
```

Properties
DOS(E_F): 1.885 states/eV/atom
crystal system: cubic
E_form: -0.415 eV/atom
symmetry: No. 216
energy: -6.651 eV/atom
calculated volume: 97 Å³/f.u.
size of the total moment: 6.92 μB per formula unit


No. 6
This record from the Alexandria database describes EuHoInRu after structural relaxation. The functional is PBE.

POSCAR file:
```
EuHoInRu
1.0
5.119 0.000 0.000
2.559 4.433 0.000
2.559 1.478 4.180
Eu Ru Ho In
1 1 1 1
Cartesian
5.119 2.955 2.090
7.678 4.433 3.135
0.000 0.000 0.000
2.559 1.478 1.045
```

Properties
DOS(E_F): 1.282 states/eV/atom
crystal system: cubic
E_form: -0.141 eV/atom
symmetry: No. 216
energy: -6.857 eV/atom
calculated volume: 95 Å³/f.u.
size of the total moment: 6.56 μB per formula unit